(1)
Compound: ZnCr2As
Source: Alexandria
Functional: PBE-GGA
Structure: optimized geometry

Values from the calculation:
Polymorph energy (0 for the lowest one): 118 meV per atom
Magnetization: 3.63 μB/f.u.
SG: I-4m2, No. 119
Formation energy from the elements: 0.261 eV/atom
VASP energy: -0.4433 Ry/atom

Cell lengths 4.8507, 4.8507, 4.8507 Å; angles 135.85, 135.77, 64.28 degrees
Closest atoms and distances in Å follow each position.
Atoms (fractional coordinates):
As 0.2498 0.7498 0.5000  8 Cr 2.58-2.75, 4 Zn 2.75
Zn 0.5000 0.5000 0.0000  8 Cr 2.58-2.75, 4 As 2.75
Cr 0.0001 0.0001 0.0000  4 Zn 2.58, 4 As 2.74-2.75, 4 Cr 2.75
Cr 0.7502 0.2502 0.5000  4 As 2.58, 4 Cr 2.75, 4 Zn 2.75

***

(2)
Compound: Zn2CrAs
Source: Alexandria
Functional: PBE-GGA
Structure: optimized geometry

Values from the calculation:
Magnetization: 3.11 μB/f.u.
SG: I-42d, No. 122
Formation energy from the elements: 0.259 eV/atom
VASP energy: -0.2901 Ry/atom

Cell lengths 7.5256, 7.5256, 5.8660 Å; angles 50.10, 50.10, 90.00 degrees
Closest atoms and distances in Å follow each position.
Atoms (fractional coordinates):
As 0.0000 0.0000 0.0000  2 Cr 2.47, 4 Zn 2.59
Cr 0.2500 0.7500 0.5000  2 As 2.47
As 0.7500 0.2500 0.5000  2 Cr 2.47, 4 Zn 2.59
Zn 0.6530 0.1250 0.2500  2 Zn 2.50, 2 As 2.59
Zn 0.3750 0.3470 0.7500  2 Zn 2.50, 2 As 2.59
Cr 0.5000 0.5000 0.0000  2 As 2.47
Zn 0.0970 0.6250 0.2500  2 Zn 2.50, 2 As 2.59
Zn 0.8750 0.9030 0.7500  2 Zn 2.50, 2 As 2.59

***

(3)
Compound: ZnCr2As
Source: Alexandria
Functional: PBE-GGA
Structure: optimized geometry

Values from the calculation:
Polymorph energy (0 for the lowest one): 180 meV per atom
Magnetization: 0.00 μB/f.u.
SG: C2/m, No. 12
Formation energy from the elements: 0.322 eV/atom
VASP energy: -0.4388 Ry/atom

Cell lengths 4.4264, 4.4264, 4.4362 Å; angles 77.47, 77.47, 39.36 degrees
Closest atoms and distances in Å follow each position.
Atoms (fractional coordinates):
As 0.2500 0.2500 0.2500  6 Cr 2.54-2.57, 4 Zn 2.67
Cr 0.5060 0.5060 0.4814  3 As 2.54-2.57, 4 Cr 2.56-2.79, 3 Zn 2.58-2.65
Cr 0.9940 0.9940 0.0186  3 As 2.54-2.57, 4 Cr 2.56-2.79, 3 Zn 2.58-2.65
Zn 0.7500 0.7500 0.7500  6 Cr 2.58-2.65, 4 As 2.67

***

(4)
Compound: Zn3CrAs
Source: Alexandria
Functional: PBE-GGA
Structure: optimized geometry

Values from the calculation:
Polymorph energy (0 for the lowest one): 297 meV per atom
Magnetization: 0.00 μB/f.u.
SG: Pm-3m, No. 221
Formation energy from the elements: 1.066 eV/atom
VASP energy: -0.1876 Ry/atom

Cell lengths 4.6743, 4.6743, 4.6743 Å; angles 90.00, 90.00, 90.00 degrees
Closest atoms and distances in Å follow each position.
Atoms (fractional coordinates):
Zn 0.5000 0.0000 0.0000  2 Cr 2.34
Zn 0.0000 0.0000 0.5000  2 Cr 2.34
Zn 0.0000 0.5000 0.0000  2 Cr 2.34
Cr 0.0000 0.0000 0.0000  6 Zn 2.34
As 0.5000 0.5000 0.5000  12 Zn 3.31

***

(5)
Compound: Zn2CrAs
Source: Alexandria
Functional: PBE-GGA
Structure: optimized geometry

Values from the calculation:
Magnetization: 1.42 μB/f.u.
SG: R3m, No. 160
Formation energy from the elements: 0.195 eV/atom
VASP energy: -0.2947 Ry/atom

Cell lengths 8.6156, 8.6156, 8.6156 Å; angles 19.45, 19.45, 19.45 degrees
Closest atoms and distances in Å follow each position.
Atoms (fractional coordinates):
As 0.4897 0.4897 0.4897  3 Cr 2.45
Cr 0.7525 0.7525 0.7525  3 As 2.45, 3 Zn 2.64
Zn 0.0055 0.0055 0.0055  3 Cr 2.64, 9 Zn 2.77-2.91
Zn 0.2522 0.2522 0.2522  9 Zn 2.77-2.91, 3 As 2.95

***

(6)
Compound: ZnCr2As
Source: Alexandria
Functional: PBE-GGA
Structure: optimized geometry

Values from the calculation:
Polymorph energy (0 for the lowest one): 88 meV per atom
Magnetization: 4.57 μB/f.u.
SG: Fm-3m, No. 225
Formation energy from the elements: 0.230 eV/atom
VASP energy: -0.4456 Ry/atom

Cell lengths 4.2648, 4.2648, 4.2648 Å; angles 60.00, 60.00, 60.00 degrees
Closest atoms and distances in Å follow each position.
Atoms (fractional coordinates):
As 0.5000 0.5000 0.5000  8 Cr 2.61
Cr 0.7500 0.7500 0.7500  4 As 2.61, 4 Zn 2.61
Zn 0.0000 0.0000 0.0000  8 Cr 2.61
Cr 0.2500 0.2500 0.2500  4 As 2.61, 4 Zn 2.61

***

(7)
Compound: ZnCrAs
Source: Alexandria
Functional: PBE-GGA
Structure: optimized geometry

Values from the calculation:
Magnetization: 1.63 μB/f.u.
SG: P3m1, No. 156
Formation energy from the elements: 0.232 eV/atom
VASP energy: -0.3639 Ry/atom

Cell lengths 2.9106, 2.9106, 6.3791 Å; angles 90.00, 90.00, 120.00 degrees
Closest atoms and distances in Å follow each position.
Atoms (fractional coordinates):
Zn 0.3333 0.6667 0.6400  3 Cr 2.63, 6 Zn 2.91
As 0.0000 0.0000 0.0374  3 Cr 2.48
Cr 0.6667 0.3333 0.3226  3 As 2.48, 3 Zn 2.63

***

(8)
Compound: Zn2CrAs
Source: Alexandria
Functional: PBE-GGA
Structure: optimized geometry

Values from the calculation:
Magnetization: 2.98 μB/f.u.
SG: Cmmm, No. 65
Formation energy from the elements: 0.164 eV/atom
VASP energy: -0.2970 Ry/atom

Cell lengths 4.6741, 4.6741, 3.2056 Å; angles 90.00, 90.00, 114.86 degrees
Closest atoms and distances in Å follow each position.
Atoms (fractional coordinates):
As 0.5000 0.0000 0.5000  2 Cr 2.52
Zn 0.5000 0.5000 0.0000  2 Zn 2.52
Zn 0.0000 0.0000 0.0000  2 Zn 2.52
Cr 0.0000 0.5000 0.5000  2 As 2.52